1.
This record from Alexandria via LeMat-Bulk describes a relaxed structure of BaZr2Os. The functional is PBE.

Cell lengths 3.3858, 4.2080, 7.7534 Å; angles 90.00, 90.01, 90.00 degrees
Sites, in units of the cell vectors:
1 Ba 0.0000 0.0000 0.0000
2 Zr 0.4744 0.5000 0.6523
3 Zr 0.9733 0.0000 0.4324
4 Os 0.4759 0.5000 0.3328

Values from the calculation:
The energy above the most stable polymorph in this dataset is 168 meV/atom. The value obtained for the energy is -7.294 eV per atom. The calculation puts the density at 7.666 g cm⁻³. Its symmetry is Pm (6). The value obtained for the energy of formation from the pure elements is 0.268 eV per atom.


2.
This record from Alexandria via LeMat-Bulk describes a relaxed structure of BaZr2Os. The functional is PBE.

Cell lengths 5.6488, 5.6488, 17.4953 Å; angles 90.00, 90.00, 90.00 degrees
Sites, in units of the cell vectors:
1 Ba 0.0000 0.2500 0.3750
2 Ba 0.0000 0.7500 0.6250
3 Ba 0.5000 0.2500 0.1250
4 Ba 0.5000 0.7500 0.8750
5 Zr 0.0000 0.0000 0.0000
6 Zr 0.0000 0.5000 0.0000
7 Zr 0.2500 0.2500 0.7500
8 Zr 0.2500 0.7500 0.2500
9 Zr 0.5000 0.0000 0.5000
10 Zr 0.5000 0.5000 0.5000
11 Zr 0.7500 0.2500 0.7500
12 Zr 0.7500 0.7500 0.2500
13 Os 0.0000 0.2500 0.8750
14 Os 0.0000 0.7500 0.1250
15 Os 0.5000 0.2500 0.6250
16 Os 0.5000 0.7500 0.3750

Values from the calculation:
The energy above the most stable polymorph in this dataset is 796 meV/atom. The value obtained for the energy is -6.665 eV per atom. The calculation puts the density at 6.068 g cm⁻³. Its symmetry is I4_1/amd (141). The value obtained for the energy of formation from the pure elements is 0.897 eV per atom.


3.
This record from Alexandria via LeMat-Bulk describes a relaxed structure of BaZr2Os. The functional is PBE.

Cell lengths 3.3922, 4.4889, 15.4975 Å; angles 90.00, 90.00, 90.00 degrees
Sites, in units of the cell vectors:
1 Ba 0.0000 0.0000 0.0000
2 Ba 0.5000 0.5000 0.5000
3 Zr 0.0000 0.0000 0.3243
4 Zr 0.0000 0.5000 0.1879
5 Zr 0.5000 0.0000 0.6879
6 Zr 0.5000 0.5000 0.8243
7 Os 0.0000 0.5000 0.6968
8 Os 0.5000 0.0000 0.1968

Values from the calculation:
The energy above the most stable polymorph in this dataset is 173 meV/atom. The value obtained for the energy is -7.288 eV per atom. The calculation puts the density at 7.177 g cm⁻³. Its symmetry is Imm2 (44). The value obtained for the energy of formation from the pure elements is 0.274 eV per atom.


4.
This record from Alexandria via LeMat-Bulk describes a relaxed structure of BaZr2Os. The functional is PBE.

Cell lengths 7.4381, 4.2876, 7.9029 Å; angles 90.00, 108.30, 90.00 degrees
Sites, in units of the cell vectors:
1 Ba 0.0000 0.0000 0.0000
2 Ba 0.5000 0.5000 0.0000
3 Zr 0.2061 0.0000 0.6209
4 Zr 0.4481 0.0000 0.3472
5 Zr 0.7061 0.5000 0.6209
6 Zr 0.9481 0.5000 0.3472
7 Os 0.3256 0.5000 0.4796
8 Os 0.8256 0.0000 0.4796

Values from the calculation:
The energy above the most stable polymorph in this dataset is 0 meV/atom. The value obtained for the energy is -7.462 eV per atom. The calculation puts the density at 7.078 g cm⁻³. Its symmetry is Cm (8). The value obtained for the energy of formation from the pure elements is 0.101 eV per atom.


Question: Which value of energy of formation from the pure elements does entry 2 give?
Answer: 0.897 eV per atom


Question: energy of number 1 (BaZr2Os)?
Answer: -7.294 eV per atom


Question: Which of these has the highest energy?
Answer: number 2


Question: What is the formula in the third record?
Answer: BaZr2Os